# GeTeAu2

A geometry-optimized GeTeAu2 structure (PBE, Alexandria via LeMat-Bulk).

Results
The calculated density comes out at 11.58 Mg/m³. The electronic total energy is -0.124 hartree per atom. As for the volume: 21.30 A^3/atom. The calculation puts the energy relative to the elements, uncorrected at 0.22 eV/atom. For the total magnetization, the calculation gives 0.00 μB/f.u.

Unit cell a=6.9853 b=6.9853 c=6.9853 alpha=90.00 beta=90.00 gamma=90.00
Space group Fm-3m (No. 225)
Asymmetric unit:
Ge (0.0000, 0.0000, 0.0000) x4
Te (0.0000, 0.0000, 0.5000) x4
Au (0.2500, 0.2500, 0.2500) x8

***

# Ge2TeAu

A geometry-optimized Ge2TeAu structure (PBE, Alexandria via LeMat-Bulk).

Results
The calculated density comes out at 8.27 Mg/m³. The electronic total energy is -0.140 hartree per atom. As for the volume: 23.58 A^3/atom. The calculation puts the energy relative to the elements, uncorrected at 0.10 eV/atom. For the total magnetization, the calculation gives 0.00 μB/f.u.

Unit cell a=3.9796 b=3.9796 c=6.8768 alpha=90.00 beta=90.00 gamma=120.00
Space group P-3m1 (No. 164)
Asymmetric unit:
Ge (0.3333, 0.6667, 0.2147) x2
Te (0.0000, 0.0000, 0.5000) x1
Au (0.0000, 0.0000, 0.0000) x1

***

# GeTe2Au

A geometry-optimized GeTe2Au structure (PBE, Alexandria via LeMat-Bulk).

Results
The calculated density comes out at 8.54 Mg/m³. The electronic total energy is -0.132 hartree per atom. As for the volume: 25.52 A^3/atom. The calculation puts the energy relative to the elements, uncorrected at -0.05 eV/atom. For the total magnetization, the calculation gives 0.00 μB/f.u.

Unit cell a=4.1443 b=5.8525 c=4.2091 alpha=90.00 beta=90.00 gamma=90.00
Space group Pmm2 (No. 25)
Asymmetric unit:
Ge (0.0000, 0.0000, 0.0000) x1
Te (0.0000, 0.5000, 0.0237) x1
Te (0.5000, 0.0000, 0.5456) x1
Au (0.5000, 0.5000, 0.5214) x1

***

# Ge2Te8Au

A geometry-optimized Ge2Te8Au structure (PBE, Alexandria via LeMat-Bulk).

Results
The calculated density comes out at 6.14 Mg/m³. The electronic total energy is -0.122 hartree per atom. As for the volume: 33.54 A^3/atom. The calculation puts the energy relative to the elements, uncorrected at 0.11 eV/atom. For the total magnetization, the calculation gives 0.00 μB/f.u.

Unit cell a=14.0555 b=8.1048 c=6.7261 alpha=90.00 beta=105.65 gamma=90.00
Space group C2/m (No. 12)
Asymmetric unit:
Ge (0.1682, 0.0000, 0.1774) x4
Te (0.0646, 0.2418, 0.2857) x8
Te (0.1356, 0.5000, 0.7110) x4
Te (0.2480, 0.0000, 0.8615) x4
Au (0.0000, 0.0000, 0.5000) x2

***

# Ge3Te5Au12

A geometry-optimized Ge3Te5Au12 structure (PBE, Alexandria via LeMat-Bulk).

Results
The calculated density comes out at 10.76 Mg/m³. The electronic total energy is -0.124 hartree per atom. As for the volume: 24.84 A^3/atom. The calculation puts the energy relative to the elements, uncorrected at 0.08 eV/atom. For the total magnetization, the calculation gives 0.00 μB/f.u.

Unit cell a=15.8396 b=15.8396 c=15.8396 alpha=90.00 beta=90.00 gamma=90.00
Space group Ia-3d (No. 230)
Asymmetric unit:
Ge (0.0000, 0.2500, 0.1250) x24
Te (0.0000, 0.0000, 0.0000) x16
Te (0.0000, 0.2500, 0.3750) x24
Au (0.0232, 0.0939, 0.6511) x96

***

# Ge5Te4Au

A geometry-optimized Ge5Te4Au structure (PBE, Alexandria via LeMat-Bulk).

Results
The calculated density comes out at 6.82 Mg/m³. The electronic total energy is -0.143 hartree per atom. As for the volume: 26.07 A^3/atom. The calculation puts the energy relative to the elements, uncorrected at -0.01 eV/atom. For the total magnetization, the calculation gives 0.00 μB/f.u.

Unit cell a=4.1573 b=4.2586 c=14.8892 alpha=85.34 beta=82.84 gamma=89.96
Space group P1 (No. 1)
Asymmetric unit:
Ge (0.0000, 0.0000, 0.0000) x1
Ge (0.1863, 0.1361, 0.5891) x1
Ge (0.3931, 0.3223, 0.1849) x1
Ge (0.5951, 0.5587, 0.7840) x1
Ge (0.7960, 0.7552, 0.3610) x1
Te (0.0873, 0.0080, 0.7973) x1
Te (0.2766, 0.1783, 0.3949) x1
Te (0.5003, 0.4443, 0.9929) x1
Te (0.6849, 0.5892, 0.5897) x1
Au (0.9017, 0.8802, 0.1843) x1

***

# GeTe3Au2

A geometry-optimized GeTe3Au2 structure (PBE, Alexandria via LeMat-Bulk).

Results
The calculated density comes out at 7.45 Mg/m³. The electronic total energy is -0.128 hartree per atom. As for the volume: 31.57 A^3/atom. The calculation puts the energy relative to the elements, uncorrected at -0.05 eV/atom. For the total magnetization, the calculation gives 0.00 μB/f.u.

Unit cell a=4.5337 b=13.3085 c=6.2783 alpha=90.00 beta=90.00 gamma=90.00
Space group Imm2 (No. 44)
Asymmetric unit:
Ge (0.0000, 0.0000, 0.0000) x2
Te (0.0000, 0.1674, 0.2355) x4
Te (0.0000, 0.5000, 0.2441) x2
Au (0.0000, 0.3348, 0.9776) x4

***

# GeTeAu2

A geometry-optimized GeTeAu2 structure (PBE, Alexandria via LeMat-Bulk).

Results
The calculated density comes out at 11.15 Mg/m³. The electronic total energy is -0.130 hartree per atom. As for the volume: 22.12 A^3/atom. The calculation puts the energy relative to the elements, uncorrected at 0.03 eV/atom. For the total magnetization, the calculation gives 0.00 μB/f.u.

Unit cell a=7.0871 b=4.1029 c=6.5284 alpha=90.00 beta=111.21 gamma=90.00
Space group C2/m (No. 12)
Asymmetric unit:
Ge (0.0000, 0.0000, 0.0000) x2
Te (0.0000, 0.5000, 0.5000) x2
Au (0.2399, 0.5000, 0.2199) x4

***

Q: What is the energy relative to the elements, uncorrected in the eighth record?
A: 0.03 eV/atom